A plane-wave DFT calculation with PBE-GGA was carried out for a geometry-optimized LaBePt structure.

Results
- Size of the total moment: 0.000 μB/f.u.
- Energy relative to the lowest polymorph listed for this composition: 0.060 eV per atom
- DFT formation energy: -0.713 eV per atom
- Raw total energy: -67.328 eV/cell

Cell lengths 4.0199, 7.5742, 8.1163 Å; angles 90.00, 90.00, 90.00 degrees
Last column: nearest neighbours and their distance in Å.
Sites, in units of the cell vectors:
1 Pt 0.5000 0.6924 0.0000  2 Be 2.31
2 La 0.5000 0.0000 0.7459  6 Pt 3.11-3.19, 6 Be 3.11-3.28
3 La 0.0000 0.5000 0.7541  6 Pt 3.11-3.19, 6 Be 3.11-3.28
4 La 0.0000 0.5000 0.2459  6 Pt 3.11-3.19, 6 Be 3.11-3.28
5 Be 0.0000 0.8435 0.0000  2 Pt 2.31, 1 Be 2.37
6 Pt 0.5000 0.3076 0.0000  2 Be 2.31
7 Be 0.5000 0.6565 0.5000  2 Pt 2.31, 1 Be 2.37
8 Pt 0.0000 0.8076 0.5000  2 Be 2.31
9 Be 0.0000 0.1565 0.0000  2 Pt 2.31, 1 Be 2.37
10 Be 0.5000 0.3435 0.5000  2 Pt 2.31, 1 Be 2.37
11 La 0.5000 0.0000 0.2541  6 Pt 3.11-3.19, 6 Be 3.11-3.28
12 Pt 0.0000 0.1924 0.5000  2 Be 2.31


A plane-wave DFT calculation with PBE-GGA was carried out for a geometry-optimized LaBePt3 structure.

Results
- Size of the total moment: 0.000 μB/f.u.
- Energy relative to the lowest polymorph listed for this composition: 0.101 eV per atom
- DFT formation energy: -0.850 eV per atom
- Raw total energy: -62.057 eV/cell

Cell lengths 19.5153, 8.9093, 8.9093 Å; angles 153.47, 159.92, 20.08 degrees
Last column: nearest neighbours and their distance in Å.
Sites, in units of the cell vectors:
1 Pt 0.3873 0.8288 0.1712  3 Be 2.36-2.57
2 La 0.6680 0.9154 0.0846  8 Pt 2.97-3.22, 2 Be 3.24
3 Be 0.8379 0.3670 0.6330  7 Pt 2.29-2.57
4 Pt 0.6127 0.1712 0.8288  3 Be 2.36-2.57
5 Pt 0.1082 0.9550 0.0450  1 Be 2.48, 3 Pt 2.74-2.75
6 Pt 0.8918 0.0450 0.9550  1 Be 2.48, 3 Pt 2.74-2.75
7 Pt 0.1017 0.5676 0.4324  3 Be 2.29-2.46
8 La 0.3320 0.0846 0.9154  8 Pt 2.97-3.22, 2 Be 3.24
9 Pt 0.8983 0.4324 0.5676  3 Be 2.29-2.46
10 Be 0.1621 0.6330 0.3670  7 Pt 2.29-2.57


A plane-wave DFT calculation with PBE-GGA was carried out for a geometry-optimized LaBePt3 structure.

Results
- Size of the total moment: 0.000 μB/f.u.
- Energy relative to the lowest polymorph listed for this composition: 0.617 eV per atom
- DFT formation energy: -0.334 eV per atom
- Raw total energy: -28.445 eV/cell

Cell lengths 4.2165, 4.2165, 6.5190 Å; angles 90.00, 90.00, 90.00 degrees
Last column: nearest neighbours and their distance in Å.
Sites, in units of the cell vectors:
1 Pt 0.0000 0.5000 0.6881  2 Be 2.22
2 Pt 0.5000 0.0000 0.6881  2 Be 2.22
3 Pt 0.0000 0.0000 0.9624  1 La 2.49, 4 Pt 2.76
4 La 0.0000 0.0000 0.3450  1 Pt 2.49
5 Be 0.5000 0.5000 0.5801  4 Pt 2.22


A plane-wave DFT calculation with PBE-GGA was carried out for a geometry-optimized La2Be2Pt5 structure.

Results
- Size of the total moment: 0.000 μB/f.u.
- DFT formation energy: -0.892 eV per atom
- Raw total energy: -55.540 eV/cell

Cell lengths 4.1576, 4.1576, 9.2545 Å; angles 90.00, 90.00, 90.00 degrees
Last column: nearest neighbours and their distance in Å.
Sites, in units of the cell vectors:
1 Pt 0.0000 0.5000 0.7438  2 Be 2.32
2 Be 0.5000 0.5000 0.1440  4 Pt 2.32
3 Pt 0.5000 0.5000 0.5000  4 La 2.94, 8 Pt 3.07
4 Pt 0.5000 0.0000 0.7438  2 Be 2.32
5 Pt 0.5000 0.0000 0.2562  2 Be 2.32
6 La 0.0000 0.0000 0.0000  8 Pt 3.15, 8 Be 3.23
7 Pt 0.0000 0.5000 0.2562  2 Be 2.32
8 Be 0.5000 0.5000 0.8560  4 Pt 2.32
9 La 0.0000 0.0000 0.5000  12 Pt 2.94-3.07


A plane-wave DFT calculation with PBE-GGA was carried out for a geometry-optimized La2BePt structure.

Results
- Size of the total moment: 0.000 μB/f.u.
- DFT formation energy: -0.488 eV per atom
- Raw total energy: -21.574 eV/cell

Cell lengths 6.2196, 6.2196, 4.6358 Å; angles 68.14, 68.14, 34.64 degrees
Last column: nearest neighbours and their distance in Å.
Sites, in units of the cell vectors:
1 La 0.7743 0.7743 0.7256  4 Be 3.13, 2 La 3.22, 2 Pt 3.27
2 Pt 0.5630 0.5630 0.4372  2 Be 2.28
3 Be 0.1841 0.1841 0.3156  2 Pt 2.28
4 La 0.9786 0.9786 0.0215  4 Pt 3.11, 2 La 3.22, 2 Be 3.23


A plane-wave DFT calculation with PBE-GGA was carried out for a geometry-optimized LaBe2Pt2 structure.

Results
- Size of the total moment: 0.000 μB/f.u.
- Energy relative to the lowest polymorph listed for this composition: 0.006 eV per atom
- DFT formation energy: -0.822 eV per atom
- Raw total energy: -28.570 eV/cell

Cell lengths 4.0434, 4.0434, 5.9104 Å; angles 70.00, 70.00, 90.00 degrees
Last column: nearest neighbours and their distance in Å.
Sites, in units of the cell vectors:
1 La 0.0000 0.0000 0.0000  8 Pt 3.20, 8 Be 3.28
2 Be 0.7500 0.2500 0.5000  4 Pt 2.33
3 Pt 0.6385 0.6385 0.7231  4 Be 2.33
4 Be 0.2500 0.7500 0.5000  4 Pt 2.33
5 Pt 0.3615 0.3615 0.2769  4 Be 2.33


A plane-wave DFT calculation with PBE-GGA was carried out for a geometry-optimized LaBePt3 structure.

Results
- Size of the total moment: 0.000 μB/f.u.
- Energy relative to the lowest polymorph listed for this composition: 0.422 eV per atom
- DFT formation energy: -0.529 eV per atom
- Raw total energy: -58.843 eV/cell

Cell lengths 4.7097, 4.7097, 9.4476 Å; angles 90.00, 90.00, 120.00 degrees
Last column: nearest neighbours and their distance in Å.
Sites, in units of the cell vectors:
1 Pt 0.0000 0.0000 0.7500  2 Be 2.36
2 La 0.6667 0.3333 0.2500  5 Pt 2.72-2.97
3 Be 0.0000 0.0000 0.0000  2 Pt 2.36
4 Pt 0.3333 0.6667 0.0644  3 Be 2.79, 1 La 2.97, 3 Pt 2.98
5 Pt 0.6667 0.3333 0.5644  3 Be 2.79, 1 La 2.97, 3 Pt 2.98
6 La 0.3333 0.6667 0.7500  5 Pt 2.72-2.97
7 Pt 0.6667 0.3333 0.9356  3 Be 2.79, 1 La 2.97, 3 Pt 2.98
8 Be 0.0000 0.0000 0.5000  2 Pt 2.36
9 Pt 0.0000 0.0000 0.2500  2 Be 2.36
10 Pt 0.3333 0.6667 0.4356  3 Be 2.79, 1 La 2.97, 3 Pt 2.98


A plane-wave DFT calculation with PBE-GGA was carried out for a geometry-optimized La2BePt structure.

Results
- Size of the total moment: 0.000 μB/f.u.
- DFT formation energy: -0.327 eV per atom
- Raw total energy: -20.929 eV/cell

Cell lengths 4.9273, 4.9273, 4.9273 Å; angles 60.00, 60.00, 60.00 degrees
Last column: nearest neighbours and their distance in Å.
Sites, in units of the cell vectors:
1 Be 0.5000 0.5000 0.5000  4 Pt 3.02, 4 La 3.02
2 La 0.0000 0.0000 0.0000  4 La 3.02, 4 Pt 3.02
3 La 0.2500 0.2500 0.2500  4 La 3.02, 4 Be 3.02
4 Pt 0.7500 0.7500 0.7500  4 Be 3.02, 4 La 3.02


A plane-wave DFT calculation with PBE-GGA was carried out for a geometry-optimized LaBePt2 structure.

Results
- Size of the total moment: 0.000 μB/f.u.
- DFT formation energy: -0.673 eV per atom
- Raw total energy: -23.425 eV/cell

Cell lengths 5.0028, 5.0028, 5.0028 Å; angles 135.08, 112.67, 84.64 degrees
Last column: nearest neighbours and their distance in Å.
Sites, in units of the cell vectors:
1 Be 0.2500 0.7500 0.5000  4 Pt 2.35
2 La 0.7500 0.2500 0.5000  8 Pt 3.01-3.10, 4 Be 3.37
3 Pt 0.0642 0.0642 0.0000  2 Be 2.35
4 Pt 0.4358 0.4358 0.0000  2 Be 2.35


A plane-wave DFT calculation with PBE-GGA was carried out for a geometry-optimized LaBePt2 structure.

Results
- Size of the total moment: 0.000 μB/f.u.
- DFT formation energy: -0.403 eV per atom
- Raw total energy: -22.346 eV/cell

Cell lengths 4.5751, 4.5757, 3.6304 Å; angles 90.00, 90.00, 90.00 degrees
Last column: nearest neighbours and their distance in Å.
Sites, in units of the cell vectors:
1 Pt 0.0000 0.0000 0.0000  4 Be 2.92, 4 La 2.92, 4 Pt 3.24
2 La 0.0000 0.5000 0.5000  8 Pt 2.92, 4 Be 3.24
3 Be 0.5000 0.0000 0.5000  8 Pt 2.92, 4 La 3.24
4 Pt 0.5000 0.5000 0.0000  4 La 2.92, 4 Be 2.92, 4 Pt 3.24


A plane-wave DFT calculation with PBE-GGA was carried out for a geometry-optimized LaBe2Pt3 structure.

Results
- Size of the total moment: 0.000 μB/f.u.
- DFT formation energy: -0.768 eV per atom
- Raw total energy: -105.322 eV/cell

Cell lengths 3.8401, 9.3775, 9.3775 Å; angles 120.00, 90.00, 90.00 degrees
Last column: nearest neighbours and their distance in Å.
Sites, in units of the cell vectors:
1 Pt 0.0000 0.2911 0.0000  4 Be 2.42
2 La 0.0000 0.6667 0.3333  6 Be 3.15, 12 Pt 3.32-3.34
3 Pt 0.5000 0.5000 0.0000  4 Be 2.61, 4 Pt 2.74
4 Pt 0.0000 0.0000 0.7089  4 Be 2.42
5 Be 0.5000 0.3585 0.1792  6 Pt 2.42-2.61
6 La 0.0000 0.3333 0.6667  6 Be 3.15, 12 Pt 3.32-3.34
7 Pt 0.0000 0.0000 0.2911  4 Be 2.42
8 Pt 0.5000 0.5000 0.5000  4 Be 2.61, 4 Pt 2.74
9 Be 0.5000 0.8208 0.6415  6 Pt 2.42-2.61
10 Pt 0.0000 0.2911 0.2911  4 Be 2.42
11 Be 0.5000 0.1792 0.3585  6 Pt 2.42-2.61
12 Pt 0.0000 0.7089 0.7089  4 Be 2.42
13 Be 0.5000 0.1792 0.8208  6 Pt 2.42-2.61
14 Be 0.5000 0.6415 0.8208  6 Pt 2.42-2.61
15 La 0.5000 0.0000 0.0000  6 Be 2.91
16 Be 0.5000 0.8208 0.1792  6 Pt 2.42-2.61
17 Pt 0.5000 0.0000 0.5000  4 Be 2.61, 4 Pt 2.74
18 Pt 0.0000 0.7089 0.0000  4 Be 2.42


A plane-wave DFT calculation with PBE-GGA was carried out for a geometry-optimized La2BePt structure.

Results
- Size of the total moment: 0.000 μB/f.u.
- DFT formation energy: -0.053 eV per atom
- Raw total energy: -39.672 eV/cell

Cell lengths 7.7980, 7.7980, 6.5976 Å; angles 53.77, 53.77, 90.00 degrees
Last column: nearest neighbours and their distance in Å.
Sites, in units of the cell vectors:
1 Pt 0.7500 0.2500 0.5000  4 La 2.84
2 La 0.3750 0.3629 0.7500  2 Pt 2.84, 2 Be 2.97
3 Pt 0.0000 0.0000 0.0000  4 La 2.84
4 Be 0.5000 0.5000 0.0000  4 La 2.97
5 La 0.6371 0.1250 0.2500  2 Pt 2.84, 2 Be 2.97
6 Be 0.2500 0.7500 0.5000  4 La 2.97
7 La 0.1129 0.6250 0.2500  2 Pt 2.84, 2 Be 2.97
8 La 0.8750 0.8871 0.7500  2 Pt 2.84, 2 Be 2.97


Repeat the tenth record exactly.
A plane-wave DFT calculation with PBE-GGA was carried out for a geometry-optimized LaBePt2 structure.

Results
- Size of the total moment: 0.000 μB/f.u.
- DFT formation energy: -0.403 eV per atom
- Raw total energy: -22.346 eV/cell

Cell lengths 4.5751, 4.5757, 3.6304 Å; angles 90.00, 90.00, 90.00 degrees
Last column: nearest neighbours and their distance in Å.
Sites, in units of the cell vectors:
1 Pt 0.0000 0.0000 0.0000  4 Be 2.92, 4 La 2.92, 4 Pt 3.24
2 La 0.0000 0.5000 0.5000  8 Pt 2.92, 4 Be 3.24
3 Be 0.5000 0.0000 0.5000  8 Pt 2.92, 4 La 3.24
4 Pt 0.5000 0.5000 0.0000  4 La 2.92, 4 Be 2.92, 4 Pt 3.24